1.
Li3Tb3PaTe8 | PBE-GGA | relaxed

```
Li3Tb3PaTe8
1.0
8.728 0.000 0.000
-4.364 7.558 -0.030
0.000 -5.015 7.093
Te Tb Li Pa
8 3 3 1
Direct
0.752 0.003 0.754 Te
0.752 0.505 0.757 Te
0.749 0.498 0.246 Te
0.248 0.495 0.243 Te
0.251 0.003 0.754 Te
0.251 0.502 0.754 Te
0.248 0.997 0.246 Te
0.749 0.997 0.246 Te
0.000 0.500 0.500 Tb
0.500 0.500 0.500 Tb
0.500 0.000 0.500 Tb
0.000 0.000 0.000 Li
0.500 0.500 0.000 Li
0.000 0.500 0.000 Li
0.000 0.000 0.500 Pa
```

Summary:
Space-group type ... R-3m (166)
Raw total energy ... -4.80 eV/atom
E_form (uncorrected) ... -1.186 eV/atom


2.
NaTeS2 | PBE-GGA | relaxed

```
NaTeS2
1.0
-1.383 -3.645 -4.728
1.832 -0.489 4.024
-5.127 -1.449 2.155
S Na Te
2 1 1
Direct
0.718 0.561 0.131 S
0.312 0.655 0.589 S
0.825 0.669 0.623 Na
0.423 0.765 0.176 Te
```

Summary:
Space-group type ... P1 (1)
Raw total energy ... -3.61 eV/atom
E_form (uncorrected) ... -0.434 eV/atom


3.
Pr3Nd2TmAs6 | PBE-GGA | relaxed

```
Pr3Nd2TmAs6
1.0
-3.330 1.283 2.328
-5.155 -4.907 -4.671
4.307 -6.272 5.718
As Pr Tm Nd
6 3 1 2
Direct
0.663 0.082 0.326 As
0.000 0.240 0.000 As
0.000 0.760 0.000 As
0.333 0.418 0.666 As
0.337 0.918 0.674 As
0.667 0.582 0.334 As
0.833 0.166 0.666 Pr
0.500 0.500 0.000 Pr
0.167 0.834 0.334 Pr
0.500 0.000 0.000 Tm
0.835 0.668 0.669 Nd
0.165 0.332 0.331 Nd
```

Summary:
Space-group type ... C2/m (12)
Raw total energy ... -6.18 eV/atom
Formation enthalpy at 0 K ... -1.494 eV per atom


What did the second record say?
NaTeS2 | PBE-GGA | relaxed

```
NaTeS2
1.0
-1.383 -3.645 -4.728
1.832 -0.489 4.024
-5.127 -1.449 2.155
S Na Te
2 1 1
Direct
0.718 0.561 0.131 S
0.312 0.655 0.589 S
0.825 0.669 0.623 Na
0.423 0.765 0.176 Te
```

Summary:
Space-group type ... P1 (1)
Raw total energy ... -3.61 eV/atom
E_form (uncorrected) ... -0.434 eV/atom


> What is the raw total energy in the second record?

-3.61 eV/atom